(1)
Compound: ZnInCl3
Source: the Alexandria database
Functional: PBE-GGA
Structure: relaxed

```
ZnInCl3
1.0
-0.174 -4.802 5.008
-2.591 -5.712 -3.055
6.924 -1.835 0.287
In Cl Zn
2 6 2
direct
0.238 0.686 0.005
0.903 0.346 0.508
0.480 0.616 0.537
0.531 0.123 0.788
0.465 0.059 0.289
0.959 0.750 0.410
0.978 0.103 0.028
0.838 0.631 0.913
0.715 0.977 0.995
0.611 0.874 0.496
```

- ρ: 2.96 g/cm3
- Energy above the lowest structure with this stoichiometry: 2.6 meV/atom
- Magnetization: 0.000 μB/cell
- Formation energy from raw total energies: -23.58 kcal/mol of atoms

(2)
Compound: Mo3C5
Source: the Alexandria database
Functional: PBE-GGA
Structure: relaxed

```
Mo3C5
1.0
7.397 -0.408 0.000
-4.043 5.659 0.000
0.000 0.000 4.128
C Mo
10 6
direct
0.285 0.692 0.081
0.715 0.308 0.581
0.285 0.692 0.419
0.682 0.697 0.250
0.209 0.993 0.250
0.715 0.308 0.919
0.318 0.303 0.750
0.791 0.007 0.750
0.992 0.784 0.750
0.008 0.216 0.250
0.670 0.017 0.250
0.057 0.382 0.750
0.676 0.668 0.750
0.324 0.332 0.250
0.943 0.618 0.250
0.330 0.983 0.750
```

- ρ: 6.96 g/cm3
- Formation enthalpy at 0 K: 0.7596 eV per atom
- Energy above the lowest structure with this stoichiometry: 0.0 meV/atom
- Magnetization: 0.000 μB/cell

(3)
Compound: Ti4CoNi3
Source: the Alexandria database
Functional: PBE-GGA
Structure: relaxed

```
Ti4CoNi3
1.0
-2.652 0.295 3.546
-2.540 -4.914 -1.490
5.666 -4.323 4.598
Ni Ti Co
6 8 2
direct
0.580 0.000 0.750
0.000 0.000 0.000
0.416 0.500 0.250
0.584 0.500 0.750
0.000 0.000 0.500
0.420 0.000 0.250
0.500 0.252 0.000
0.050 0.747 0.750
0.950 0.253 0.250
0.500 0.252 0.500
0.950 0.747 0.250
0.500 0.748 0.500
0.050 0.253 0.750
0.500 0.748 0.000
0.000 0.500 0.000
0.000 0.500 0.500
```

- ρ: 6.57 g/cm3
- Formation enthalpy at 0 K: -0.3578 eV per atom
- Magnetization: 0.000 μB/cell

(4)
Compound: Sm3Y2ErTm6
Source: the Alexandria database
Functional: PBE-GGA
Structure: relaxed

```
Sm3Y2ErTm6
1.0
6.134 0.001 -0.004
-3.064 5.314 -0.004
-1.014 -1.756 11.513
Y Tm Sm Er
2 6 3 1
direct
0.333 0.667 0.000
0.667 0.333 0.000
0.250 0.250 0.752
0.917 0.585 0.752
0.585 0.917 0.752
0.750 0.750 0.248
0.415 0.083 0.248
0.083 0.415 0.248
0.167 0.833 0.500
0.833 0.167 0.500
0.500 0.500 0.500
0.000 0.000 0.000
```

- ρ: 8.01 g/cm3
- Formation enthalpy at 0 K: 0.0246 eV per atom
- Magnetization: 0.000 μB/cell

(5)
Compound: Tb2PrLu
Source: the Alexandria database
Functional: PBE-GGA
Structure: relaxed

```
Tb2PrLu
1.0
5.695 0.000 0.000
2.847 4.932 0.000
2.847 1.644 4.650
Lu Pr Tb
1 1 2
direct
0.000 0.000 0.000
0.500 0.500 0.500
0.250 0.250 0.250
0.750 0.750 0.750
```

- ρ: 8.06 g/cm3
- Formation enthalpy at 0 K: 0.1506 eV per atom
- Energy above the lowest structure with this stoichiometry: 126.9 meV/atom
- Magnetization: 0.140 μB/cell

(6)
Compound: UPaMo
Source: the Alexandria database
Functional: PBE-GGA
Structure: relaxed

```
UPaMo
1.0
3.491 0.000 0.000
0.000 3.491 0.000
-1.746 -1.746 4.953
Pa U Mo
1 1 1
direct
0.676 0.676 0.351
0.330 0.330 0.659
0.995 0.995 0.990
```

- ρ: 15.54 g/cm3
- Formation enthalpy at 0 K: 0.0636 eV per atom
- Energy above the lowest structure with this stoichiometry: 0.0 meV/atom
- Magnetization: 0.048 μB/cell